# Tb2CdGe2Rh5 PBE optimized geometry
# - Magnetization: 0.00 μB per atom
# - Calculated formation energy: -749 meV per atom
# - Electronic total energy: -127.3 eV/cell
data_Tb2CdGe2Rh5
_space_group_name_H-M_alt 'P 1'
_space_group_IT_number 1
_space_group_name_Hall 'P 1'
_cell_length_a 3.6175
_cell_length_b 9.8407
_cell_length_c 9.8407
_cell_angle_alpha 90.00
_cell_angle_beta 90.00
_cell_angle_gamma 90.00
loop_
_atom_site_label
_atom_site_type_symbol
_atom_site_fract_x
_atom_site_fract_y
_atom_site_fract_z
_atom_site_occupancy
Rh1 Rh 0.5000 0.7124 0.4317 1
Tb1 Tb 0.0000 0.3258 0.8258 1
Ge1 Ge 0.0000 0.3756 0.1244 1
Ge2 Ge 0.0000 0.6244 0.8756 1
Rh2 Rh 0.5000 0.2876 0.5683 1
Rh3 Rh 0.5000 0.2124 0.0683 1
Tb2 Tb 0.0000 0.8258 0.6742 1
Cd1 Cd 0.0000 0.5000 0.5000 1
Rh4 Rh 0.5000 0.5000 0.0000 1
Ge3 Ge 0.0000 0.8756 0.3756 1
Rh5 Rh 0.5000 0.7876 0.9317 1
Rh6 Rh 0.5000 0.0683 0.7876 1
Cd2 Cd 0.0000 0.0000 0.0000 1
Rh7 Rh 0.5000 0.4317 0.2876 1
Rh8 Rh 0.5000 0.5683 0.7124 1
Rh9 Rh 0.5000 0.9317 0.2124 1
Rh10 Rh 0.5000 0.0000 0.5000 1
Ge4 Ge 0.0000 0.1244 0.6244 1
Tb3 Tb 0.0000 0.6742 0.1742 1
Tb4 Tb 0.0000 0.1742 0.3258 1

# LaNi2 PBE optimized geometry
# - Magnetization: 0.00 μB per atom
# - Calculated formation energy: -249 meV per atom
# - Electronic total energy: -34.5 eV/cell
data_LaNi2
_space_group_name_H-M_alt 'P 1'
_space_group_IT_number 1
_space_group_name_Hall 'P 1'
_cell_length_a 4.1187
_cell_length_b 4.1183
_cell_length_c 8.0864
_cell_angle_alpha 90.01
_cell_angle_beta 90.00
_cell_angle_gamma 120.00
loop_
_atom_site_label
_atom_site_type_symbol
_atom_site_fract_x
_atom_site_fract_y
_atom_site_fract_z
_atom_site_occupancy
La1 La 0.6952 0.3904 0.5668 1
Ni1 Ni 0.0269 0.0537 0.3252 1
Ni2 Ni 0.3623 0.7245 0.7779 1
La2 La 0.0286 0.0571 0.9886 1
Ni3 Ni 0.6935 0.3870 0.2298 1
Ni4 Ni 0.3603 0.7206 0.2784 1

# La3TbNi PBE optimized geometry
# - Magnetization: 0.00 μB per atom
# - Energy above the most stable polymorph in this dataset: 0 meV/atom
# - Calculated formation energy: -141 meV per atom
# - Electronic total energy: -51.8 eV/cell
data_La3TbNi
_space_group_name_H-M_alt 'P 1'
_space_group_IT_number 1
_space_group_name_Hall 'P 1'
_cell_length_a 3.7750
_cell_length_b 6.4687
_cell_length_c 13.1622
_cell_angle_alpha 86.80
_cell_angle_beta 81.76
_cell_angle_gamma 73.03
loop_
_atom_site_label
_atom_site_type_symbol
_atom_site_fract_x
_atom_site_fract_y
_atom_site_fract_z
_atom_site_occupancy
La1 La 0.4376 0.6119 0.5129 1
Ni1 Ni 0.7609 0.3495 0.1286 1
La2 La 0.7746 0.6908 0.7600 1
La3 La 0.7757 0.0577 0.3908 1
La4 La 0.4406 0.9660 0.1527 1
Tb1 Tb 0.1140 0.5031 0.2689 1
Tb2 Tb 0.2198 0.5569 0.0034 1
Ni2 Ni 0.4453 0.3272 0.7821 1
La5 La 0.9881 0.1118 0.9121 1
La6 La 0.1040 0.1619 0.6300 1